(1)
Here is HgBiI2F after structural relaxation from Alexandria via LeMat-Bulk. Energies are from PBE-GGA.

CIF file:
```
data_HgBiI2F
_chemical_formula_sum 'Hg1 Bi1 I2 F1'
_symmetry_space_group_name_H-M 'P 4/m m m'
_symmetry_Int_Tables_number 123
_symmetry_space_group_name_Hall '-P 4 2'
_cell_length_a 5.9846
_cell_length_b 5.9846
_cell_length_c 4.4230
_cell_angle_alpha 90.00
_cell_angle_beta 90.00
_cell_angle_gamma 90.00
loop_
_atom_site_label
_atom_site_type_symbol
_atom_site_fract_x
_atom_site_fract_y
_atom_site_fract_z
Hg1 Hg 0.0000 0.0000 0.0000
Bi1 Bi 0.5000 0.5000 0.5000
I1 I 0.0000 0.5000 0.0000
F1 F 0.0000 0.0000 0.5000
```

The value obtained for the density of states at the Fermi level is 3.0 states/eV/cell. For the raw total energy, the calculation gives -0.0775 hartree per atom. The calculation puts the formation energy without anion corrections at -1.39 eV per formula unit.



(2)
Here is FeAgIr2 after structural relaxation from Alexandria via LeMat-Bulk. Energies are from PBE-GGA.

CIF file:
```
data_FeAgIr2
_chemical_formula_sum 'Fe4 Ag4 Ir8'
_symmetry_space_group_name_H-M 'I -4 2 d'
_symmetry_Int_Tables_number 122
_symmetry_space_group_name_Hall 'I -4 2bw'
_cell_length_a 7.0656
_cell_length_b 7.0656
_cell_length_c 5.0793
_cell_angle_alpha 90.00
_cell_angle_beta 90.00
_cell_angle_gamma 90.00
loop_
_atom_site_label
_atom_site_type_symbol
_atom_site_fract_x
_atom_site_fract_y
_atom_site_fract_z
Fe1 Fe 0.0000 0.0000 0.0000
Ag1 Ag 0.0000 0.0000 0.5000
Ir1 Ir 0.1936 0.2500 0.1250
```

The value obtained for the density of states at the Fermi level is 26.3 states/eV/cell. The formation energy is 727 meV/atom. For the raw total energy, the calculation gives -0.2401 hartree per atom.



(3)
Here is Ir2Ru2Rh after structural relaxation from Alexandria via LeMat-Bulk. Energies are from PBE-GGA.

CIF file:
```
data_Ir2Ru2Rh
_chemical_formula_sum 'Ir4 Ru4 Rh2'
_symmetry_space_group_name_H-M 'P 4/m b m'
_symmetry_Int_Tables_number 127
_symmetry_space_group_name_Hall '-P 4 2ab'
_cell_length_a 7.4297
_cell_length_b 7.4297
_cell_length_c 2.7448
_cell_angle_alpha 90.00
_cell_angle_beta 90.00
_cell_angle_gamma 90.00
loop_
_atom_site_label
_atom_site_type_symbol
_atom_site_fract_x
_atom_site_fract_y
_atom_site_fract_z
Ir1 Ir 0.1245 0.3755 0.0000
Ru1 Ru 0.1721 0.6721 0.5000
Rh1 Rh 0.0000 0.0000 0.0000
```

The value obtained for the density of states at the Fermi level is 14.6 states/eV/cell. The formation energy is 294 meV/atom. For the raw total energy, the calculation gives -0.3098 hartree per atom.



Among the records above, which one has the lowest density of states at the Fermi level? HgBiI2F



Number 2 is which compound? FeAgIr2